*P*
Density functional theory data (GGA-PBE) for a geometry-optimized LuGaCuMo structure.

```
data_LuGaCuMo
_space_group_name_H-M_alt 'F -4 3 m'
_space_group_IT_number 216
_space_group_name_Hall 'F -4 2 3'
_cell_length_a 6.470
_cell_length_b 6.470
_cell_length_c 6.470
_cell_angle_alpha 90.00
_cell_angle_beta 90.00
_cell_angle_gamma 90.00
loop_
_atom_site_label
_atom_site_type_symbol
_atom_site_fract_x
_atom_site_fract_y
_atom_site_fract_z
Lu1 Lu 0.000 0.000 0.000
Ga1 Ga 0.000 0.000 0.500
Cu1 Cu 0.250 0.250 0.750
Mo1 Mo 0.250 0.250 0.250
```

Properties
Size of the total moment, μB/cell: 2.35

---

*Q*
Density functional theory data (GGA-PBE) for a geometry-optimized LuGaCuMo structure.

```
data_LuGaCuMo
_space_group_name_H-M_alt 'F -4 3 m'
_space_group_IT_number 216
_space_group_name_Hall 'F -4 2 3'
_cell_length_a 6.558
_cell_length_b 6.558
_cell_length_c 6.558
_cell_angle_alpha 90.00
_cell_angle_beta 90.00
_cell_angle_gamma 90.00
loop_
_atom_site_label
_atom_site_type_symbol
_atom_site_fract_x
_atom_site_fract_y
_atom_site_fract_z
Lu1 Lu 0.000 0.000 0.000
Ga1 Ga 0.250 0.250 0.250
Cu1 Cu 0.000 0.000 0.500
Mo1 Mo 0.250 0.250 0.750
```

Properties
Size of the total moment, μB/cell: 6.74

---

The data favor *P*; the next most stable structure lies 21.0 kJ/mol of atoms above it.

---

*P*
Density functional theory data (GGA-PBE) for a geometry-optimized LuGaCuPd structure.

```
data_LuGaCuPd
_space_group_name_H-M_alt 'F -4 3 m'
_space_group_IT_number 216
_space_group_name_Hall 'F -4 2 3'
_cell_length_a 6.511
_cell_length_b 6.511
_cell_length_c 6.511
_cell_angle_alpha 90.00
_cell_angle_beta 90.00
_cell_angle_gamma 90.00
loop_
_atom_site_label
_atom_site_type_symbol
_atom_site_fract_x
_atom_site_fract_y
_atom_site_fract_z
Lu1 Lu 0.000 0.000 0.000
Ga1 Ga 0.250 0.250 0.250
Cu1 Cu 0.000 0.000 0.500
Pd1 Pd 0.250 0.250 0.750
```

Properties
Size of the total moment, μB/cell: 0.00

---

*Q*
Density functional theory data (GGA-PBE) for a geometry-optimized LuGaCuPd structure.

```
data_LuGaCuPd
_space_group_name_H-M_alt 'P -3 m 1'
_space_group_IT_number 164
_space_group_name_Hall '-P 3 2"'
_cell_length_a 4.3333
_cell_length_b 4.3333
_cell_length_c 8.6210
_cell_angle_alpha 90.00
_cell_angle_beta 90.00
_cell_angle_gamma 120.00
loop_
_atom_site_label
_atom_site_type_symbol
_atom_site_fract_x
_atom_site_fract_y
_atom_site_fract_z
Lu1 Lu 0.3333 0.6667 0.2472
Ga1 Ga 0.0000 0.0000 0.0000
Ga2 Ga 0.0000 0.0000 0.5000
Cu1 Cu 0.3333 0.6667 0.9198
Pd1 Pd 0.3333 0.6667 0.5908
```

Properties
Size of the total moment, μB/cell: 0.00

---

*R*
Density functional theory data (GGA-PBE) for a geometry-optimized LuGaCuPd structure.

```
data_LuGaCuPd
_space_group_name_H-M_alt 'F -4 3 m'
_space_group_IT_number 216
_space_group_name_Hall 'F -4 2 3'
_cell_length_a 6.457
_cell_length_b 6.457
_cell_length_c 6.457
_cell_angle_alpha 90.00
_cell_angle_beta 90.00
_cell_angle_gamma 90.00
loop_
_atom_site_label
_atom_site_type_symbol
_atom_site_fract_x
_atom_site_fract_y
_atom_site_fract_z
Lu1 Lu 0.000 0.000 0.000
Ga1 Ga 0.000 0.000 0.500
Cu1 Cu 0.250 0.250 0.750
Pd1 Pd 0.250 0.250 0.250
```

Properties
Size of the total moment, μB/cell: 0.00

---

The data favor *Q*; the next most stable structure lies 5.8 kJ/mol of atoms above it.

---

*P*
Density functional theory data (GGA-PBE) for a geometry-optimized LuGaCuPt structure.

```
data_LuGaCuPt
_space_group_name_H-M_alt 'F -4 3 m'
_space_group_IT_number 216
_space_group_name_Hall 'F -4 2 3'
_cell_length_a 6.469
_cell_length_b 6.469
_cell_length_c 6.469
_cell_angle_alpha 90.00
_cell_angle_beta 90.00
_cell_angle_gamma 90.00
loop_
_atom_site_label
_atom_site_type_symbol
_atom_site_fract_x
_atom_site_fract_y
_atom_site_fract_z
Lu1 Lu 0.000 0.000 0.000
Ga1 Ga 0.000 0.000 0.500
Cu1 Cu 0.250 0.250 0.750
Pt1 Pt 0.250 0.250 0.250
```

Properties
Size of the total moment, μB/cell: 0.00

---

*Q*
Density functional theory data (GGA-PBE) for a geometry-optimized LuGaCuPt structure.

```
data_LuGaCuPt
_space_group_name_H-M_alt 'P -6 m 2'
_space_group_IT_number 187
_space_group_name_Hall 'P -6 2'
_cell_length_a 4.3375
_cell_length_b 4.3375
_cell_length_c 8.6739
_cell_angle_alpha 90.00
_cell_angle_beta 90.00
_cell_angle_gamma 120.00
loop_
_atom_site_label
_atom_site_type_symbol
_atom_site_fract_x
_atom_site_fract_y
_atom_site_fract_z
Lu1 Lu 0.0000 0.0000 0.0000
Lu2 Lu 0.3333 0.6667 0.5000
Ga1 Ga 0.6667 0.3333 0.2492
Cu1 Cu 0.0000 0.0000 0.3404
Pt1 Pt 0.3333 0.6667 0.1757
```

Properties
Size of the total moment, μB/cell: 0.00

---

The data favor *Q*; the next most stable structure lies 7.8 kJ/mol of atoms above it.